1.
DFT (GGA-PBEsol) results for TaFe3Pb after structural relaxation.

CIF file:
```
data_TaFe3Pb
_space_group_name_H-M_alt 'P m -3 m'
_space_group_IT_number 221
_space_group_name_Hall '-P 4 2 3'
_cell_length_a 4.6316
_cell_length_b 4.6316
_cell_length_c 4.6316
_cell_angle_alpha 90.00
_cell_angle_beta 90.00
_cell_angle_gamma 90.00
loop_
_atom_site_label
_atom_site_type_symbol
_atom_site_fract_x
_atom_site_fract_y
_atom_site_fract_z
Ta1 Ta 0.0000 0.0000 0.0000
Fe1 Fe 0.0000 0.5000 0.5000
Pb1 Pb 0.5000 0.5000 0.5000
```

## Properties
As for the uncorrected energy: -6.62 eV per atom. As for the formation energy: 2.071 eV per atom.

2.
DFT (GGA-PBEsol) results for TaFePb2 after structural relaxation.

CIF file:
```
data_TaFePb2
_space_group_name_H-M_alt 'P 4/m m m'
_space_group_IT_number 123
_space_group_name_Hall '-P 4 2'
_cell_length_a 4.8554
_cell_length_b 4.8554
_cell_length_c 3.2886
_cell_angle_alpha 90.00
_cell_angle_beta 90.00
_cell_angle_gamma 90.00
loop_
_atom_site_label
_atom_site_type_symbol
_atom_site_fract_x
_atom_site_fract_y
_atom_site_fract_z
Ta1 Ta 0.0000 0.0000 0.0000
Fe1 Fe 0.5000 0.5000 0.0000
Pb1 Pb 0.0000 0.5000 0.5000
```

## Properties
As for the uncorrected energy: -6.66 eV per atom. Its excess energy over the best structure of this formula in the dataset is 192.7 meV per atom. As for the formation energy: 0.721 eV per atom.

3.
DFT (GGA-PBEsol) results for Ta2FePb after structural relaxation.

CIF file:
```
data_Ta2FePb
_space_group_name_H-M_alt 'R -3 m'
_space_group_IT_number 166
_space_group_name_Hall '-R 3 2"'
_cell_length_a 3.4079
_cell_length_b 3.4079
_cell_length_c 22.6661
_cell_angle_alpha 90.00
_cell_angle_beta 90.00
_cell_angle_gamma 120.00
loop_
_atom_site_label
_atom_site_type_symbol
_atom_site_fract_x
_atom_site_fract_y
_atom_site_fract_z
Ta1 Ta 0.0000 0.0000 0.2249
Fe1 Fe 0.0000 0.0000 0.5000
Pb1 Pb 0.0000 0.0000 0.0000
```

## Properties
As for the uncorrected energy: -9.13 eV per atom. As for the formation energy: 0.391 eV per atom.

4.
DFT (GGA-PBEsol) results for Fe3TcPb after structural relaxation.

CIF file:
```
data_Fe3TcPb
_space_group_name_H-M_alt 'P m -3 m'
_space_group_IT_number 221
_space_group_name_Hall '-P 4 2 3'
_cell_length_a 4.4552
_cell_length_b 4.4552
_cell_length_c 4.4552
_cell_angle_alpha 90.00
_cell_angle_beta 90.00
_cell_angle_gamma 90.00
loop_
_atom_site_label
_atom_site_type_symbol
_atom_site_fract_x
_atom_site_fract_y
_atom_site_fract_z
Fe1 Fe 0.0000 0.0000 0.5000
Tc1 Tc 0.0000 0.0000 0.0000
Pb1 Pb 0.5000 0.5000 0.5000
```

## Properties
As for the uncorrected energy: -7.10 eV per atom. As for the formation energy: 1.330 eV per atom.

5.
DFT (GGA-PBEsol) results for FeTc2Pb after structural relaxation.

CIF file:
```
data_FeTc2Pb
_space_group_name_H-M_alt 'R 3 m'
_space_group_IT_number 160
_space_group_name_Hall 'R 3 -2"'
_cell_length_a 2.9010
_cell_length_b 2.9010
_cell_length_c 26.3095
_cell_angle_alpha 90.00
_cell_angle_beta 90.00
_cell_angle_gamma 120.00
loop_
_atom_site_label
_atom_site_type_symbol
_atom_site_fract_x
_atom_site_fract_y
_atom_site_fract_z
Fe1 Fe 0.0000 0.0000 0.0000
Tc1 Tc 0.0000 0.0000 0.4830
Tc2 Tc 0.0000 0.0000 0.7410
Pb1 Pb 0.0000 0.0000 0.2443
```

## Properties
As for the uncorrected energy: -8.26 eV per atom. As for the formation energy: 0.614 eV per atom.

6.
DFT (GGA-PBEsol) results for FeTcPb after structural relaxation.

CIF file:
```
data_FeTcPb
_space_group_name_H-M_alt 'P 3 m 1'
_space_group_IT_number 156
_space_group_name_Hall 'P 3 -2"'
_cell_length_a 4.1646
_cell_length_b 4.1646
_cell_length_c 3.3001
_cell_angle_alpha 90.00
_cell_angle_beta 90.00
_cell_angle_gamma 120.00
loop_
_atom_site_label
_atom_site_type_symbol
_atom_site_fract_x
_atom_site_fract_y
_atom_site_fract_z
Fe1 Fe 0.0000 0.0000 0.0000
Tc1 Tc 0.6667 0.3333 0.0980
Pb1 Pb 0.3333 0.6667 0.5708
```

## Properties
As for the uncorrected energy: -7.38 eV per atom. As for the formation energy: 0.692 eV per atom.

7.
DFT (GGA-PBEsol) results for Fe3TePb after structural relaxation.

CIF file:
```
data_Fe3TePb
_space_group_name_H-M_alt 'P m -3 m'
_space_group_IT_number 221
_space_group_name_Hall '-P 4 2 3'
_cell_length_a 4.8543
_cell_length_b 4.8543
_cell_length_c 4.8543
_cell_angle_alpha 90.00
_cell_angle_beta 90.00
_cell_angle_gamma 90.00
loop_
_atom_site_label
_atom_site_type_symbol
_atom_site_fract_x
_atom_site_fract_y
_atom_site_fract_z
Fe1 Fe 0.0000 0.0000 0.5000
Te1 Te 0.5000 0.5000 0.5000
Pb1 Pb 0.0000 0.0000 0.0000
```

## Properties
As for the uncorrected energy: -5.27 eV per atom. The calculation puts the uncorrected formation energy at 1617 meV/atom.

8.
DFT (GGA-PBEsol) results for Fe2TePb after structural relaxation.

CIF file:
```
data_Fe2TePb
_space_group_name_H-M_alt 'R 3 m'
_space_group_IT_number 160
_space_group_name_Hall 'R 3 -2"'
_cell_length_a 3.8381
_cell_length_b 3.8381
_cell_length_c 18.8958
_cell_angle_alpha 90.00
_cell_angle_beta 90.00
_cell_angle_gamma 120.00
loop_
_atom_site_label
_atom_site_type_symbol
_atom_site_fract_x
_atom_site_fract_y
_atom_site_fract_z
Fe1 Fe 0.0000 0.0000 0.0000
Fe2 Fe 0.0000 0.0000 0.3151
Te1 Te 0.0000 0.0000 0.5781
Pb1 Pb 0.0000 0.0000 0.7601
```

## Properties
As for the uncorrected energy: -6.18 eV per atom. The calculation puts the uncorrected formation energy at 186 meV/atom. Its excess energy over the best structure of this formula in the dataset is 0.0 meV per atom.